1.
A relaxed TlAs crystal. Source: Alexandria, functional PBE.

Cell: 3.1655 4.7990 7.3507 Å, 90.00 102.53 90.00°
With the nearest neighbours (Å) after each atom.
Fractional positions:
Tl1 0.3400 0.2500 0.6783  2 Tl 3.17, 6 As 3.33-3.34
Tl2 0.6600 0.7500 0.3217  2 Tl 3.17, 6 As 3.33-3.34
As1 0.9582 0.7500 0.9128  2 As 2.71
As2 0.0418 0.2500 0.0872  2 As 2.71

Computed properties:
ρ, g cm⁻³: 8.5
Total DFT energy (no corrections), eV/atom: -3.377
DFT formation energy, eV/atom: 0.131
Space group: P2_1/m, No. 11

---

2.
A relaxed TlAs crystal. Source: Alexandria, functional PBE.

Cell: 3.2155 3.2155 5.6458 Å, 90.00 90.00 120.00°
With the nearest neighbours (Å) after each atom.
Fractional positions:
Tl1 0.6667 0.3333 0.5000  6 Tl 3.22, 6 As 3.38
As1 0.0000 0.0000 0.0000  6 As 3.22, 6 Tl 3.38

Computed properties:
ρ, g cm⁻³: 9.2
Total DFT energy (no corrections), eV/atom: -3.176
DFT formation energy, eV/atom: 0.332
Space group: P-6m2, No. 187

---

3.
A relaxed TlAs crystal. Source: Alexandria, functional PBE.

Cell: 6.3124 6.3124 6.3124 Å, 47.06 47.06 47.06°
With the nearest neighbours (Å) after each atom.
Fractional positions:
Tl1 0.3959 0.3959 0.3959  3 As 2.92
Tl2 0.6041 0.6041 0.6041  3 As 2.92
As1 0.0731 0.0731 0.0731  1 As 2.46
As2 0.9269 0.9269 0.9269  1 As 2.46

Computed properties:
ρ, g cm⁻³: 7.5
Total DFT energy (no corrections), eV/atom: -3.302
DFT formation energy, eV/atom: 0.206
Space group: R-3m, No. 166

---

4.
A relaxed TlAs crystal. Source: Alexandria, functional PBE.

Cell: 6.6552 8.4035 8.0952 Å, 90.00 90.00 90.00°
With the nearest neighbours (Å) after each atom.
Fractional positions:
Tl1 0.8799 0.7690 0.0187  6 As 3.04-3.40, 2 Tl 3.36
Tl2 0.3799 0.7310 0.9813  6 As 3.04-3.40, 2 Tl 3.36
Tl3 0.1201 0.2690 0.4813  6 As 3.04-3.40, 2 Tl 3.36
Tl4 0.6201 0.2310 0.5187  6 As 3.04-3.40, 2 Tl 3.36
Tl5 0.3838 0.2689 0.9816  5 As 3.03-3.36, 2 Tl 3.36
Tl6 0.8838 0.2311 0.0184  5 As 3.03-3.36, 2 Tl 3.36
Tl7 0.6162 0.7689 0.5184  5 As 3.03-3.36, 2 Tl 3.36
Tl8 0.1162 0.7311 0.4816  5 As 3.03-3.36, 2 Tl 3.36
As1 0.4465 0.5000 0.2650  1 As 2.37
As2 0.9465 0.0000 0.7350  1 As 2.37
As3 0.5535 0.0000 0.2350  1 As 2.37
As4 0.0535 0.5000 0.7650  1 As 2.37
As5 0.3023 0.0003 0.7382  1 As 2.37
As6 0.8023 0.4997 0.2618  1 As 2.37
As7 0.6977 0.5003 0.7618  1 As 2.37
As8 0.1977 0.9997 0.2382  1 As 2.37

Computed properties:
ρ, g cm⁻³: 8.2
Total DFT energy (no corrections), eV/atom: -3.393
DFT formation energy, eV/atom: 0.115
Space group: P2_12_12_1, No. 19

---

5.
A relaxed TlAs crystal. Source: Alexandria, functional PBE.

Cell: 5.7376 5.7376 8.6251 Å, 90.00 90.00 120.00°
With the nearest neighbours (Å) after each atom.
Fractional positions:
Tl1 0.0000 0.0000 0.2500  3 Tl 3.31, 6 As 3.52
Tl2 0.0000 0.0000 0.7500  3 Tl 3.31, 6 As 3.52
Tl3 0.3333 0.6667 0.7500  2 As 3.14, 3 Tl 3.31
Tl4 0.6667 0.3333 0.2500  2 As 3.14, 3 Tl 3.31
As1 0.3333 0.6667 0.1135  1 As 2.36
As2 0.6667 0.3333 0.6135  1 As 2.36
As3 0.6667 0.3333 0.8865  1 As 2.36
As4 0.3333 0.6667 0.3865  1 As 2.36

Computed properties:
ρ, g cm⁻³: 7.5
Total DFT energy (no corrections), eV/atom: -3.218
DFT formation energy, eV/atom: 0.290
Space group: P6_3/mmc, No. 194

---

6.
A relaxed TlAs2 crystal. Source: Alexandria, functional PBE.

Cell: 6.7212 6.7212 6.7212 Å, 132.94 132.94 68.76°
With the nearest neighbours (Å) after each atom.
Fractional positions:
Tl1 0.2500 0.2500 0.0000  8 As 3.36
Tl2 0.7500 0.7500 0.0000  8 As 3.36
As1 0.2503 0.7503 0.0007  4 As 2.68
As2 0.7497 0.2497 0.9993  4 As 2.68
As3 0.2497 0.2503 0.5000  4 As 2.68
As4 0.7503 0.7497 0.5000  4 As 2.68

Computed properties:
ρ, g cm⁻³: 7.4
Total DFT energy (no corrections), eV/atom: -3.747
DFT formation energy, eV/atom: 0.141
Space group: P4/mmm, No. 123